[1]
# La5As3

La5As3 after structural relaxation (GGA-PBEsol, the Alexandria database).

Cell lengths 8.9670, 8.9670, 6.3274 Å; angles 90.00, 90.00, 120.00 degrees
Element x y z (fractional)
La (0.0000, 0.2607, 0.2500)
La (0.0000, 0.7393, 0.7500)
La (0.2607, 0.0000, 0.2500)
La (0.2607, 0.2607, 0.7500)
La (0.3333, 0.6667, 0.0000)
La (0.3333, 0.6667, 0.5000)
La (0.6667, 0.3333, 0.0000)
La (0.6667, 0.3333, 0.5000)
La (0.7393, 0.0000, 0.7500)
La (0.7393, 0.7393, 0.2500)
As (0.0000, 0.3796, 0.7500)
As (0.0000, 0.6204, 0.2500)
As (0.3796, 0.0000, 0.7500)
As (0.3796, 0.3796, 0.2500)
As (0.6204, 0.0000, 0.2500)
As (0.6204, 0.6204, 0.7500)

Computed properties:
Polymorph energy (0 for the lowest one) in eV per atom: 0.000
Energy of formation in meV/atom: -1137
Volume in Å³/atom: 27.5

---

[2]
# FeAgOs

FeAgOs after structural relaxation (GGA-PBEsol, the Alexandria database).

Cell lengths 4.3554, 4.3554, 2.5727 Å; angles 90.00, 90.00, 120.00 degrees
Element x y z (fractional)
Fe (0.0000, 0.0000, 0.0000)
Ag (0.6667, 0.3333, 0.2882)
Os (0.3333, 0.6667, 0.7332)

Computed properties:
Polymorph energy (0 for the lowest one) in eV per atom: 0.136
Energy of formation in meV/atom: 637
Volume in Å³/atom: 14.1